Entry 1:
Computed, not measured: crystalline Mg2CuCl at its relaxed geometry at the PBE level of DFT.

a b c (Å): 4.8519 4.8519 4.8519
angles (deg): 60.00 60.00 60.00
Last column: nearest neighbours and their distance in Å.
Atoms (fractional coordinates):
Mg (0.2500, 0.2500, 0.2500)  4 Cl 2.97, 4 Cu 2.97
Mg (0.7500, 0.7500, 0.7500)  4 Cl 2.97, 4 Cu 2.97
Cu (0.0000, 0.0000, 0.0000)  8 Mg 2.97
Cl (0.5000, 0.5000, 0.5000)  8 Mg 2.97

Output
- Relative energy among the computed polymorphs: 0.495 eV/atom
- Raw formation energy: -0.03 eV/atom
- SG: Fm-3m
- Electronic total energy: -2.317 eV/atom
- Theoretical density: 3.03 g/cm3

Entry 2:
Computed, not measured: crystalline Li2CaMg at its relaxed geometry at the PBE level of DFT.

a b c (Å): 6.9297 6.9297 6.9297
angles (deg): 150.92 132.76 56.43
Last column: nearest neighbours and their distance in Å.
Atoms (fractional coordinates):
Li (0.2306, 0.2306, 0.0000)  1 Mg 2.82
Li (0.7694, 0.7694, 0.0000)  1 Mg 2.82
Ca (0.5000, 0.5000, 0.0000)  4 Mg 3.28, 2 Li 3.29, 2 Ca 3.48
Mg (0.0000, 0.0000, 0.0000)  2 Li 2.82

Output
- SG: Immm
- Electronic total energy: -1.672 eV/atom
- Theoretical density: 1.10 g/cm3
- Energy of formation from the pure elements: 0.184 eV/atom

Entry 3:
Computed, not measured: crystalline Dy2UC3 at its relaxed geometry at the PBE level of DFT.

a b c (Å): 7.8809 7.8809 5.0357
angles (deg): 90.00 90.00 37.91
Last column: nearest neighbours and their distance in Å.
Atoms (fractional coordinates):
Dy (0.0802, 0.5862, 0.7500)  6 C 2.49-2.76
Dy (0.4138, 0.9198, 0.7500)  6 C 2.49-2.76
Dy (0.5862, 0.0802, 0.2500)  6 C 2.49-2.76
Dy (0.9198, 0.4138, 0.2500)  6 C 2.49-2.76
U (0.2480, 0.7520, 0.2500)  3 C 2.21-2.36
U (0.7520, 0.2480, 0.7500)  3 C 2.21-2.36
C (0.1040, 0.5995, 0.2500)  1 U 2.21
C (0.2132, 0.7868, 0.7500)  3 U 2.36-2.52, 2 Dy 2.49
C (0.4005, 0.8960, 0.2500)  1 U 2.21
C (0.5995, 0.1040, 0.7500)  1 U 2.21
C (0.7868, 0.2132, 0.2500)  3 U 2.36-2.52, 2 Dy 2.49
C (0.8960, 0.4005, 0.7500)  1 U 2.21

Output
- Relative energy among the computed polymorphs: 0.052 eV/atom
- SG: Cmcm
- Electronic total energy: -8.263 eV/atom
- Theoretical density: 10.35 g/cm3
- Energy of formation from the pure elements: -0.236 eV/atom

Entry 4:
Computed, not measured: crystalline Tl5Te2I at its relaxed geometry at the PBE level of DFT.

a b c (Å): 13.5694 9.8849 9.1510
angles (deg): 90.00 90.00 90.00
Last column: nearest neighbours and their distance in Å.
Atoms (fractional coordinates):
Tl (0.0146, 0.2500, 0.0193)  1 I 3.43, 4 Te 3.48-3.63, 3 Tl 3.73-3.76
Tl (0.1124, 0.5666, 0.6738)  2 Te 3.20-3.29, 1 I 3.35
Tl (0.1124, 0.9334, 0.6738)  2 Te 3.20-3.29, 1 I 3.35
Tl (0.1776, 0.2500, 0.3481)  2 Te 3.35, 1 I 3.41, 3 Tl 3.73
Tl (0.2233, 0.7500, 0.2801)  2 I 3.45-3.63, 4 Te 3.46-3.54
Tl (0.2767, 0.2500, 0.7801)  2 I 3.45-3.63, 4 Te 3.46-3.54
Tl (0.3224, 0.7500, 0.8481)  2 Te 3.35, 1 I 3.41, 3 Tl 3.73
Tl (0.3876, 0.0666, 0.1738)  2 Te 3.20-3.29, 1 I 3.35
Tl (0.3876, 0.4334, 0.1738)  2 Te 3.20-3.29, 1 I 3.35
Tl (0.4854, 0.7500, 0.5193)  1 I 3.43, 4 Te 3.48-3.63, 3 Tl 3.73-3.76
Tl (0.5146, 0.2500, 0.4807)  1 I 3.43, 4 Te 3.48-3.63, 3 Tl 3.73-3.76
Tl (0.6124, 0.5666, 0.8262)  2 Te 3.20-3.29, 1 I 3.35
Tl (0.6124, 0.9334, 0.8262)  2 Te 3.20-3.29, 1 I 3.35
Tl (0.6776, 0.2500, 0.1519)  2 Te 3.35, 1 I 3.41, 3 Tl 3.73
Tl (0.7233, 0.7500, 0.2199)  2 I 3.45-3.63, 4 Te 3.46-3.54
Tl (0.7767, 0.2500, 0.7199)  2 I 3.45-3.63, 4 Te 3.46-3.54
Tl (0.8224, 0.7500, 0.6519)  2 Te 3.35, 1 I 3.41, 3 Tl 3.73
Tl (0.8876, 0.0666, 0.3262)  2 Te 3.20-3.29, 1 I 3.35
Tl (0.8876, 0.4334, 0.3262)  2 Te 3.20-3.29, 1 I 3.35
Tl (0.9854, 0.7500, 0.9807)  1 I 3.43, 4 Te 3.48-3.63, 3 Tl 3.73-3.76
Te (0.1870, 0.5104, 0.0103)  6 Tl 3.20-3.54
Te (0.1870, 0.9896, 0.0103)  6 Tl 3.20-3.54
Te (0.3130, 0.0104, 0.5103)  6 Tl 3.20-3.54
Te (0.3130, 0.4896, 0.5103)  6 Tl 3.20-3.54
Te (0.6870, 0.5104, 0.4897)  6 Tl 3.20-3.54
Te (0.6870, 0.9896, 0.4897)  6 Tl 3.20-3.54
Te (0.8130, 0.0104, 0.9897)  6 Tl 3.20-3.54
Te (0.8130, 0.4896, 0.9897)  6 Tl 3.20-3.54
I (0.0257, 0.2500, 0.6444)  6 Tl 3.35-3.63
I (0.4743, 0.7500, 0.1444)  6 Tl 3.35-3.63
I (0.5257, 0.2500, 0.8556)  6 Tl 3.35-3.63
I (0.9743, 0.7500, 0.3556)  6 Tl 3.35-3.63

Output
- Raw formation energy: -0.34 eV/atom
- SG: Pnma
- Electronic total energy: -2.800 eV/atom
- Theoretical density: 7.60 g/cm3

Entry 5:
Computed, not measured: crystalline CsAlHgCl6 at its relaxed geometry at the PBE level of DFT.

a b c (Å): 6.6953 6.6953 7.7205
angles (deg): 90.00 90.00 120.00
Last column: nearest neighbours and their distance in Å.
Atoms (fractional coordinates):
Cs (0.0000, 0.0000, 0.0000)  6 Cl 3.51
Al (0.6667, 0.3333, 0.5000)  6 Cl 2.36
Hg (0.3333, 0.6667, 0.5000)  6 Cl 2.71
Cl (0.3920, 0.0403, 0.6803)  1 Al 2.36
Cl (0.3920, 0.3517, 0.3197)  1 Al 2.36
Cl (0.6483, 0.0403, 0.3197)  1 Al 2.36
Cl (0.6483, 0.6080, 0.6803)  1 Al 2.36
Cl (0.9597, 0.3517, 0.6803)  1 Al 2.36
Cl (0.9597, 0.6080, 0.3197)  1 Al 2.36

Output
- Raw formation energy: -1.32 eV/atom
- SG: P312
- Electronic total energy: -3.098 eV/atom
- Theoretical density: 3.18 g/cm3

Entry 6:
Computed, not measured: crystalline MgTl4Pb3 at its relaxed geometry at the PBE level of DFT.

a b c (Å): 3.5132 6.0185 11.4749
angles (deg): 92.93 98.65 90.10
Last column: nearest neighbours and their distance in Å.
Atoms (fractional coordinates):
Mg (0.0000, 0.0000, 0.0000)  8 Pb 3.28-3.49, 2 Mg 3.51, 2 Tl 3.52
Tl (0.1233, 0.3784, 0.2478)  6 Pb 3.42-3.52, 5 Tl 3.48-3.56, 1 Mg 3.52
Tl (0.2455, 0.7522, 0.4920)  9 Tl 3.46-3.56, 3 Pb 3.54-3.72
Tl (0.7545, 0.2478, 0.5080)  9 Tl 3.46-3.56, 3 Pb 3.54-3.72
Tl (0.8767, 0.6216, 0.7522)  6 Pb 3.42-3.52, 5 Tl 3.48-3.56, 1 Mg 3.52
Pb (0.3822, 0.1162, 0.7667)  2 Mg 3.28-3.29, 3 Pb 3.42-3.51, 6 Tl 3.45-3.55
Pb (0.5000, 0.5000, 0.0000)  4 Pb 3.42-3.51, 4 Tl 3.42-3.43, 4 Mg 3.48-3.49
Pb (0.6178, 0.8838, 0.2333)  2 Mg 3.28-3.29, 3 Pb 3.42-3.51, 6 Tl 3.45-3.55

Output
- Relative energy among the computed polymorphs: 0.000 eV/atom
- SG: P-1
- Electronic total energy: -2.779 eV/atom
- Theoretical density: 10.14 g/cm3
- Energy of formation from the pure elements: -0.006 eV/atom

Entry 7:
Computed, not measured: crystalline NiAsRu2 at its relaxed geometry at the PBE level of DFT.

a b c (Å): 2.8652 3.8156 5.1908
angles (deg): 90.00 102.64 90.00
Last column: nearest neighbours and their distance in Å.
Atoms (fractional coordinates):
Ni (0.0000, 0.0000, 0.0000)  2 As 2.60, 8 Ru 2.66-2.75, 2 Ni 2.87
As (0.0000, 0.0000, 0.5000)  4 Ru 2.41, 2 Ni 2.60
Ru (0.3707, 0.5000, 0.7476)  2 As 2.41, 1 Ru 2.56, 2 Ni 2.66
Ru (0.6293, 0.5000, 0.2524)  2 As 2.41, 1 Ru 2.56, 2 Ni 2.66

Output
- SG: P2/m
- Electronic total energy: -7.159 eV/atom
- Theoretical density: 10.07 g/cm3
- Energy of formation from the pure elements: 0.086 eV/atom

Entry 8:
Computed, not measured: crystalline Pa2BeGe2 at its relaxed geometry at the PBE level of DFT.

a b c (Å): 5.6256 5.6256 10.2074
angles (deg): 108.50 108.50 40.91
Last column: nearest neighbours and their distance in Å.
Atoms (fractional coordinates):
Pa (0.0746, 0.0746, 0.4100)  1 Pa 2.79, 6 Ge 2.96-3.10, 2 Be 3.03
Pa (0.3106, 0.3106, 0.8626)  7 Ge 2.95-3.09, 4 Be 3.01-3.10
Pa (0.6894, 0.6894, 0.1374)  7 Ge 2.95-3.09, 4 Be 3.01-3.10
Pa (0.9254, 0.9254, 0.5900)  1 Pa 2.79, 6 Ge 2.96-3.10, 2 Be 3.03
Be (0.4225, 0.4225, 0.1852)  3 Ge 2.22-2.26
Be (0.5775, 0.5775, 0.8148)  3 Ge 2.22-2.26
Ge (0.0450, 0.0450, 0.9003)  2 Be 2.22
Ge (0.3349, 0.3349, 0.3588)  1 Be 2.26
Ge (0.6651, 0.6651, 0.6412)  1 Be 2.26
Ge (0.9550, 0.9550, 0.0997)  2 Be 2.22

Output
- SG: C2/m
- Electronic total energy: -6.789 eV/atom
- Theoretical density: 10.28 g/cm3
- Energy of formation from the pure elements: -0.398 eV/atom

Entry 9:
Computed, not measured: crystalline ZnFe3Ge at its relaxed geometry at the PBE level of DFT.

a b c (Å): 6.6491 6.6491 6.6491
angles (deg): 44.90 44.90 44.90
Last column: nearest neighbours and their distance in Å.
Atoms (fractional coordinates):
Zn (0.0990, 0.0990, 0.0990)  9 Fe 2.55-2.65
Zn (0.9010, 0.9010, 0.9010)  9 Fe 2.55-2.65
Fe (0.1110, 0.6115, 0.6115)  6 Fe 2.47-2.54, 2 Ge 2.47-2.48, 3 Zn 2.55-2.65
Fe (0.3885, 0.3885, 0.8890)  6 Fe 2.47-2.54, 2 Ge 2.47-2.48, 3 Zn 2.55-2.65
Fe (0.3885, 0.8890, 0.3885)  6 Fe 2.47-2.54, 2 Ge 2.47-2.48, 3 Zn 2.55-2.65
Fe (0.6115, 0.1110, 0.6115)  6 Fe 2.47-2.54, 2 Ge 2.47-2.48, 3 Zn 2.55-2.65
Fe (0.6115, 0.6115, 0.1110)  6 Fe 2.47-2.54, 2 Ge 2.47-2.48, 3 Zn 2.55-2.65
Fe (0.8890, 0.3885, 0.3885)  6 Fe 2.47-2.54, 2 Ge 2.47-2.48, 3 Zn 2.55-2.65
Ge (0.3338, 0.3338, 0.3338)  6 Fe 2.47-2.48
Ge (0.6662, 0.6662, 0.6662)  6 Fe 2.47-2.48

Output
- Relative energy among the computed polymorphs: 0.000 eV/atom
- SG: R-3m
- Electronic total energy: -6.252 eV/atom
- Theoretical density: 7.62 g/cm3
- Energy of formation from the pure elements: 0.004 eV/atom

- theoretical density of number 3 (Dy2UC3)?
  10.35 g/cm3